Entry from OQMD via LeMat-Bulk: an optimized crystal structure of Zr4InFeN2 (PBE).

a b c (Å): 3.257 3.257 14.117
angles (deg): 90.00 90.00 120.00
Last column: magnetic moment on the atom in μB.
Sites, in units of the cell vectors:
Fe 0.000 0.000 0.000  1.39
In 0.667 0.333 0.500  -0.01
N 0.333 0.667 0.233  -0.01
N 0.333 0.667 0.767  -0.01
Zr 0.667 0.333 0.138  -0.14
Zr 0.000 0.000 0.323  0.00
Zr 0.000 0.000 0.677  0.01
Zr 0.667 0.333 0.862  -0.14

Summary:
- Size of the total moment: 0.96 Bohr magnetons per cell
- E: -8.61 eV per atom